AcDy2Ho4: relaxed, PBE.

Structure (extended XYZ):
```
14
Lattice="-3.417 -1.000 8.371 0.961 -9.009 -0.209 5.593 7.333 0.120" Properties=species:S:1:pos:R:3 pbc="T T T"
Ac 3.742 -2.071 -0.056
Ac 0.172 -2.459 0.914
Dy 3.155 2.464 5.736
Dy 0.620 -6.506 6.339
Dy -0.627 -2.008 4.701
Dy 3.629 1.678 1.127
Ho -2.032 -0.433 7.370
Ho 0.126 -5.066 3.385
Ho 1.525 -0.335 6.418
Ho 2.370 -3.570 5.493
Ho 0.864 0.992 3.190
Ho 2.525 4.423 2.833
Ho 3.911 -0.807 3.912
Ho 1.511 -5.699 0.324
```

The formation energy from the elements is 1.17 eV/f.u. As for the total DFT energy (no corrections): -4.3505 eV/atom. Its density of states at the Fermi level is 10.2 states/eV/f.u. Its excess energy over the best structure of this formula in the dataset is 115 meV/atom. The spin magnetization comes out at 0.0 μB per cell.

***

AcDy2Ho8: relaxed, PBE.

Structure (extended XYZ):
```
11
Lattice="-1.654 -2.778 4.412 -5.078 -6.189 -6.446 1.450 -8.564 -5.494" Properties=species:S:1:pos:R:3 pbc="T T T"
Ac 0.000 0.000 0.000
Dy -2.281 -6.301 -0.081
Dy -3.001 -11.231 -7.447
Ho -0.260 -6.664 -2.932
Ho -3.272 -5.569 -3.371
Ho -5.021 -10.867 -4.597
Ho -2.382 -8.741 -5.477
Ho -2.009 -11.963 -4.158
Ho -1.080 -3.464 -1.238
Ho -4.202 -14.067 -6.290
Ho -2.899 -8.790 -2.051
```

The formation energy from the elements is 1.42 eV/f.u. As for the total DFT energy (no corrections): -4.4106 eV/atom. Its density of states at the Fermi level is 17.9 states/eV/f.u. The spin magnetization comes out at 0.0 μB per cell.